1.
The following is a DFT calculation (PBE) of a relaxed Pr2CdIrO6 crystal.

Structure (CIF):
```
data_Pr2CdIrO6
_chemical_formula_sum 'Pr4 Cd2 Ir2 O12'
_cell_length_a 5.5534
_cell_length_b 6.0152
_cell_length_c 9.7141
_cell_angle_alpha 90.00
_cell_angle_beta 124.51
_cell_angle_gamma 90.00
_space_group_name_H-M_alt 'P 1 21/c 1'
_space_group_IT_number 14
loop_
_space_group_symop_operation_xyz
'x,y,z'
'-x,-y,-z'
'-x,y+1/2,-z+1/2'
'x,-y+1/2,z+1/2'
loop_
_atom_site_label
_atom_site_type_symbol
_atom_site_fract_x
_atom_site_fract_y
_atom_site_fract_z
_atom_site_occupancy
Pr1 Pr 0.2250 0.0741 0.2501 1
Cd1 Cd 0.5000 0.0000 0.0000 1
Ir1 Ir 0.0000 0.0000 0.5000 1
O1 O 0.0989 0.2098 0.9338 1
O2 O 0.2450 0.6799 0.9441 1
O3 O 0.3575 0.0480 0.7334 1
```

Properties
As for the volume: 267 Å³/cell. The spin magnetization comes out at 2.0 Bohr magnetons per cell. The energy comes out at -6.97 eV/atom.



2.
The following is a DFT calculation (PBE) of a relaxed BaGeIr2 crystal.

Structure (CIF):
```
data_BaGeIr2
_chemical_formula_sum 'Ba2 Ge2 Ir4'
_cell_length_a 3.9127
_cell_length_b 8.1100
_cell_length_c 5.5614
_cell_angle_alpha 90.00
_cell_angle_beta 90.00
_cell_angle_gamma 90.00
_space_group_name_H-M_alt 'P m c 21'
_space_group_IT_number 26
loop_
_space_group_symop_operation_xyz
'x,y,z'
'-x,-y,z+1/2'
'-x,y,z'
'x,-y,z+1/2'
loop_
_atom_site_label
_atom_site_type_symbol
_atom_site_fract_x
_atom_site_fract_y
_atom_site_fract_z
_atom_site_occupancy
Ba1 Ba 0.0000 0.1540 0.0000 1
Ge1 Ge 0.5000 0.4470 0.7155 1
Ir1 Ir 0.0000 0.4308 0.4227 1
Ir2 Ir 0.5000 0.1842 0.5005 1
```

Properties
As for the volume: 176 Å³/cell. The spin magnetization comes out at 0.0 Bohr magnetons per cell. The energy comes out at -6.04 eV/atom.



3.
The following is a DFT calculation (PBE) of a relaxed ReCl crystal.

Structure (CIF):
```
data_ReCl
_chemical_formula_sum 'Re1 Cl1'
_cell_length_a 2.8449
_cell_length_b 2.8449
_cell_length_c 4.3406
_cell_angle_alpha 90.00
_cell_angle_beta 90.00
_cell_angle_gamma 120.00
_space_group_name_H-M_alt 'P -6 m 2'
_space_group_IT_number 187
_space_group_name_Hall 'P -6 2'
loop_
_atom_site_label
_atom_site_type_symbol
_atom_site_fract_x
_atom_site_fract_y
_atom_site_fract_z
_atom_site_occupancy
Re1 Re 0.0000 0.0000 0.0000 1
Cl1 Cl 0.3333 0.6667 0.5000 1
```

Properties
As for the volume: 30 Å³/cell. For the energy above the most stable polymorph in this dataset, the calculation gives 0.00 eV/f.u. The spin magnetization comes out at 0.0 Bohr magnetons per cell.



4.
The following is a DFT calculation (PBE) of a relaxed Ba2SmS3 crystal.

Structure (CIF):
```
data_Ba2SmS3
_chemical_formula_sum 'Ba2 Sm1 S3'
_cell_length_a 4.2953
_cell_length_b 4.2953
_cell_length_c 10.8952
_cell_angle_alpha 90.00
_cell_angle_beta 90.00
_cell_angle_gamma 120.00
_space_group_name_H-M_alt 'P -3 m 1'
_space_group_IT_number 164
_space_group_name_Hall '-P 3 2"'
loop_
_atom_site_label
_atom_site_type_symbol
_atom_site_fract_x
_atom_site_fract_y
_atom_site_fract_z
_atom_site_occupancy
Ba1 Ba 0.3333 0.6667 0.1762 1
Sm1 Sm 0.0000 0.0000 0.5000 1
S1 S 0.0000 0.0000 0.0000 1
S2 S 0.3333 0.6667 0.6384 1
```

Properties
As for the volume: 174 Å³/cell. The spin magnetization comes out at 0.0 Bohr magnetons per cell. The energy comes out at -5.51 eV/atom.



5.
The following is a DFT calculation (PBE) of a relaxed IrPt3F crystal.

Structure (CIF):
```
data_IrPt3F
_chemical_formula_sum 'Ir1 Pt3 F1'
_cell_length_a 4.2725
_cell_length_b 4.2725
_cell_length_c 4.2725
_cell_angle_alpha 90.00
_cell_angle_beta 90.00
_cell_angle_gamma 90.00
_space_group_name_H-M_alt 'P m -3 m'
_space_group_IT_number 221
_space_group_name_Hall '-P 4 2 3'
loop_
_atom_site_label
_atom_site_type_symbol
_atom_site_fract_x
_atom_site_fract_y
_atom_site_fract_z
_atom_site_occupancy
Ir1 Ir 0.0000 0.0000 0.0000 1
Pt1 Pt 0.0000 0.5000 0.5000 1
F1 F 0.5000 0.5000 0.5000 1
```

Properties
As for the volume: 78 Å³/cell. The spin magnetization comes out at 0.6 Bohr magnetons per cell. The energy comes out at -4.69 eV/atom.



6.
The following is a DFT calculation (PBE) of a relaxed CuSnIr2 crystal.

Structure (CIF):
```
data_CuSnIr2
_chemical_formula_sum 'Cu4 Sn4 Ir8'
_cell_length_a 6.3024
_cell_length_b 6.3024
_cell_length_c 6.3024
_cell_angle_alpha 90.00
_cell_angle_beta 90.00
_cell_angle_gamma 90.00
_space_group_name_H-M_alt 'F -4 3 m'
_space_group_IT_number 216
_space_group_name_Hall 'F -4 2 3'
loop_
_atom_site_label
_atom_site_type_symbol
_atom_site_fract_x
_atom_site_fract_y
_atom_site_fract_z
_atom_site_occupancy
Cu1 Cu 0.0000 0.0000 0.0000 1
Sn1 Sn 0.2500 0.2500 0.7500 1
Ir1 Ir 0.0000 0.0000 0.5000 1
Ir2 Ir 0.2500 0.2500 0.2500 1
```

Properties
As for the volume: 250 Å³/cell. The spin magnetization comes out at 2.2 Bohr magnetons per cell. The energy comes out at -6.14 eV/atom.



7.
The following is a DFT calculation (PBE) of a relaxed Zn2Os crystal.

Structure (CIF):
```
data_Zn2Os
_chemical_formula_sum 'Zn8 Os4'
_cell_length_a 4.4003
_cell_length_b 8.1292
_cell_length_c 4.6856
_cell_angle_alpha 90.00
_cell_angle_beta 90.00
_cell_angle_gamma 90.00
_space_group_name_H-M_alt 'P m m n'
_space_group_IT_number 59
loop_
_space_group_symop_operation_xyz
'x,y,z'
'-x,-y,-z'
'-x+1/2,-y+1/2,z'
'x+1/2,y+1/2,-z'
'x+1/2,-y,-z'
'-x+1/2,y,z'
'-x,y+1/2,-z'
'x,-y+1/2,z'
loop_
_atom_site_label
_atom_site_type_symbol
_atom_site_fract_x
_atom_site_fract_y
_atom_site_fract_z
_atom_site_occupancy
Zn1 Zn 0.2500 0.0801 0.0815 1
Zn2 Zn 0.2500 0.2500 0.5851 1
Zn3 Zn 0.2500 0.7500 0.0643 1
Os1 Os 0.2500 0.5781 0.5750 1
```

Properties
As for the volume: 168 Å³/cell. The calculation puts the energy of formation at 140 meV per atom. The spin magnetization comes out at 0.0 Bohr magnetons per cell.



8.
The following is a DFT calculation (PBE) of a relaxed Tc2BMo crystal.

Structure (CIF):
```
data_Tc2BMo
_chemical_formula_sum 'Tc8 B4 Mo4'
_cell_length_a 5.9538
_cell_length_b 5.9538
_cell_length_c 5.9538
_cell_angle_alpha 90.00
_cell_angle_beta 90.00
_cell_angle_gamma 90.00
_space_group_name_H-M_alt 'F -4 3 m'
_space_group_IT_number 216
_space_group_name_Hall 'F -4 2 3'
loop_
_atom_site_label
_atom_site_type_symbol
_atom_site_fract_x
_atom_site_fract_y
_atom_site_fract_z
_atom_site_occupancy
Tc1 Tc 0.0000 0.0000 0.0000 1
Tc2 Tc 0.2500 0.2500 0.2500 1
B1 B 0.2500 0.2500 0.7500 1
Mo1 Mo 0.0000 0.0000 0.5000 1
```

Properties
As for the volume: 211 Å³/cell. The spin magnetization comes out at 0.0 Bohr magnetons per cell. The energy comes out at -9.07 eV/atom.



9.
The following is a DFT calculation (PBE) of a relaxed Bi2Pt crystal.

Structure (CIF):
```
data_Bi2Pt
_chemical_formula_sum 'Bi8 Pt4'
_cell_length_a 7.4712
_cell_length_b 4.5645
_cell_length_c 8.8365
_cell_angle_alpha 90.00
_cell_angle_beta 90.10
_cell_angle_gamma 90.00
_space_group_name_H-M_alt 'P 1 21/m 1'
_space_group_IT_number 11
loop_
_space_group_symop_operation_xyz
'x,y,z'
'-x,-y,-z'
'-x,y+1/2,-z'
'x,-y+1/2,z'
loop_
_atom_site_label
_atom_site_type_symbol
_atom_site_fract_x
_atom_site_fract_y
_atom_site_fract_z
_atom_site_occupancy
Bi1 Bi 0.0135 0.2500 0.1567 1
Bi2 Bi 0.1367 0.2500 0.5789 1
Bi3 Bi 0.3629 0.7500 0.0792 1
Bi4 Bi 0.4866 0.7500 0.6561 1
Pt1 Pt 0.2365 0.2500 0.8971 1
Pt2 Pt 0.2634 0.7500 0.3974 1
```

Properties
As for the volume: 301 Å³/cell. The spin magnetization comes out at 0.0 Bohr magnetons per cell. The energy comes out at -4.88 eV/atom.



10.
The following is a DFT calculation (PBE) of a relaxed NdGd2In3AgPt2 crystal.

Structure (CIF):
```
data_NdGd2In3AgPt2
_chemical_formula_sum 'Nd2 Gd4 In6 Ag2 Pt4'
_cell_length_a 3.8550
_cell_length_b 13.6964
_cell_length_c 7.8825
_cell_angle_alpha 90.00
_cell_angle_beta 90.00
_cell_angle_gamma 90.00
_space_group_name_H-M_alt 'A m m 2'
_space_group_IT_number 38
loop_
_space_group_symop_operation_xyz
'x,y,z'
'-x,-y,z'
'-x,y,z'
'x,-y,z'
'x,y+1/2,z+1/2'
'-x,-y+1/2,z+1/2'
'-x,y+1/2,z+1/2'
'x,-y+1/2,z+1/2'
loop_
_atom_site_label
_atom_site_type_symbol
_atom_site_fract_x
_atom_site_fract_y
_atom_site_fract_z
_atom_site_occupancy
Nd1 Nd 0.0000 0.0000 0.0000 1
Gd1 Gd 0.0000 0.2056 0.6161 1
In1 In 0.5000 0.0000 0.6754 1
In2 In 0.5000 0.1339 0.2788 1
Ag1 Ag 0.0000 0.0000 0.4121 1
Pt1 Pt 0.5000 0.1693 0.9097 1
```

Properties
As for the volume: 416 Å³/cell. The spin magnetization comes out at 0.0 Bohr magnetons per cell. The energy comes out at -4.95 eV/atom.



Q: What is the formula in the tenth record?
A: NdGd2In3AgPt2



Q: What is the formula in the ninth record?
A: Bi2Pt



Q: The highest spin magnetization belongs to which entry?
A: CuSnIr2



Q: Which value of spin magnetization does entry 6 give?
A: 2.2 Bohr magnetons per cell